# PmMoAs2O8 | Alexandria via LeMat-Bulk | GGA+U | relaxed
# calculated total energy	-6.7674	eV/atom
data_PmMoAs2O8
_symmetry_space_group_name_H-M 'P 1'
_symmetry_Int_Tables_number 1
_cell_length_a 5.041
_cell_length_b 5.041
_cell_length_c 6.728
_cell_angle_alpha 112.00
_cell_angle_beta 112.00
_cell_angle_gamma 90.00
loop_
_symmetry_equiv_pos_as_xyz
'x,y,z'
loop_
_atom_site_label
_atom_site_fract_x
_atom_site_fract_y
_atom_site_fract_z
Pm1 0.750 0.250 0.500
Mo1 0.000 0.000 0.000
As1 0.500 0.500 0.000
As2 0.250 0.750 0.500
O1 0.738 0.831 0.150
O2 0.411 0.318 0.150
O3 0.580 0.682 0.664
O4 0.084 0.982 0.664
O5 0.018 0.420 0.336
O6 0.318 0.916 0.336
O7 0.169 0.589 0.850
O8 0.682 0.262 0.850